Entry from the Alexandria database: crystalline LiFeNi at its relaxed geometry (GGA-PBE).

## Properties
The relative energy among the computed polymorphs is 81 meV/atom. The density is 5.83 g cm⁻³. The value obtained for the formation energy from the elements is 0.109 eV/atom. The value obtained for the density of states at the Fermi level is 0.75 states/eV per atom. The value obtained for the volume is 69.2 Å³ per cell.

Cell and atoms, written as CIF:
```
data_LiFeNi
_space_group_name_H-M_alt 'I m m 2'
_space_group_IT_number 44
_cell_length_a 2.4731
_cell_length_b 3.7615
_cell_length_c 7.4391
_cell_angle_alpha 90.00
_cell_angle_beta 90.00
_cell_angle_gamma 90.00
loop_
_space_group_symop_operation_xyz
'x,y,z'
'-x,-y,z'
'-x,y,z'
'x,-y,z'
'x+1/2,y+1/2,z+1/2'
'-x+1/2,-y+1/2,z+1/2'
'-x+1/2,y+1/2,z+1/2'
'x+1/2,-y+1/2,z+1/2'
loop_
_atom_site_label
_atom_site_type_symbol
_atom_site_fract_x
_atom_site_fract_y
_atom_site_fract_z
Li1 Li 0.0000 0.0000 0.0000
Fe1 Fe 0.0000 0.0000 0.3261
Ni1 Ni 0.0000 0.0000 0.6675
```

---

Entry from the Alexandria database: crystalline NaAg2SbO at its relaxed geometry (GGA-PBE).

## Properties
The density is 5.99 g cm⁻³. The uncorrected formation energy is 2.06 eV per formula unit. The value obtained for the density of states at the Fermi level is 0.84 states/eV per atom. The value obtained for the volume is 104.3 Å³ per cell.

Cell and atoms, written as CIF:
```
data_NaAg2SbO
_space_group_name_H-M_alt 'P 4/m m m'
_space_group_IT_number 123
_space_group_name_Hall '-P 4 2'
_cell_length_a 5.1153
_cell_length_b 5.1153
_cell_length_c 3.9869
_cell_angle_alpha 90.00
_cell_angle_beta 90.00
_cell_angle_gamma 90.00
loop_
_atom_site_label
_atom_site_type_symbol
_atom_site_fract_x
_atom_site_fract_y
_atom_site_fract_z
Na1 Na 0.0000 0.0000 0.0000
Ag1 Ag 0.0000 0.5000 0.0000
Sb1 Sb 0.5000 0.5000 0.5000
O1 O 0.0000 0.0000 0.5000
```

---

Entry from the Alexandria database: crystalline Pm5HoPb6 at its relaxed geometry (GGA-PBE).

## Properties
The relative energy among the computed polymorphs is 0 meV/atom. The density is 10.05 g cm⁻³. The value obtained for the formation energy from the elements is -0.489 eV/atom. The value obtained for the density of states at the Fermi level is 0.97 states/eV per atom. The value obtained for the volume is 704.6 Å³ per cell.

Cell and atoms, written as CIF:
```
data_Pm5HoPb6
_space_group_name_H-M_alt 'C 1 2/m 1'
_space_group_IT_number 12
_cell_length_a 16.1229
_cell_length_b 9.1409
_cell_length_c 5.0279
_cell_angle_alpha 90.00
_cell_angle_beta 108.04
_cell_angle_gamma 90.00
loop_
_space_group_symop_operation_xyz
'x,y,z'
'-x,-y,-z'
'-x,y,-z'
'x,-y,z'
'x+1/2,y+1/2,z'
'-x+1/2,-y+1/2,-z'
'-x+1/2,y+1/2,-z'
'x+1/2,-y+1/2,z'
loop_
_atom_site_label
_atom_site_type_symbol
_atom_site_fract_x
_atom_site_fract_y
_atom_site_fract_z
Pm1 Pm 0.0000 0.0000 0.0000
Pm2 Pm 0.1646 0.5000 0.6648
Pm3 Pm 0.1666 0.0000 0.6667
Ho1 Ho 0.0000 0.5000 0.0000
Pb1 Pb 0.0000 0.2523 0.5000
Pb2 Pb 0.1655 0.2511 0.1656
```

---

Entry from the Alexandria database: crystalline SiRh2Cl at its relaxed geometry (GGA-PBE).

## Properties
The relative energy among the computed polymorphs is 117 meV/atom. The density is 7.51 g cm⁻³. The uncorrected formation energy is -1.30 eV per formula unit. The value obtained for the density of states at the Fermi level is 0.55 states/eV per atom. The value obtained for the volume is 119.2 Å³ per cell.

Cell and atoms, written as CIF:
```
data_SiRh2Cl
_space_group_name_H-M_alt 'C m m m'
_space_group_IT_number 65
_space_group_name_Hall '-C 2 2'
_cell_length_a 3.9544
_cell_length_b 4.3840
_cell_length_c 6.8745
_cell_angle_alpha 90.00
_cell_angle_beta 90.00
_cell_angle_gamma 90.00
loop_
_atom_site_label
_atom_site_type_symbol
_atom_site_fract_x
_atom_site_fract_y
_atom_site_fract_z
Si1 Si 0.0000 0.0000 0.0000
Rh1 Rh 0.0000 0.5000 0.2001
Cl1 Cl 0.0000 0.0000 0.5000
```

---

Entry from the Alexandria database: crystalline SrLi4Al2 at its relaxed geometry (GGA-PBE).

## Properties
The density is 1.99 g cm⁻³. The value obtained for the formation energy from the elements is -0.107 eV/atom. The value obtained for the density of states at the Fermi level is 0.40 states/eV per atom. The value obtained for the volume is 283.3 Å³ per cell.

Cell and atoms, written as CIF:
```
data_SrLi4Al2
_space_group_name_H-M_alt 'C 1 2/m 1'
_space_group_IT_number 12
_cell_length_a 8.9837
_cell_length_b 7.0847
_cell_length_c 5.6239
_cell_angle_alpha 90.00
_cell_angle_beta 127.68
_cell_angle_gamma 90.00
loop_
_space_group_symop_operation_xyz
'x,y,z'
'-x,-y,-z'
'-x,y,-z'
'x,-y,z'
'x+1/2,y+1/2,z'
'-x+1/2,-y+1/2,-z'
'-x+1/2,y+1/2,-z'
'x+1/2,-y+1/2,z'
loop_
_atom_site_label
_atom_site_type_symbol
_atom_site_fract_x
_atom_site_fract_y
_atom_site_fract_z
Sr1 Sr 0.0000 0.0000 0.0000
Li1 Li 0.1951 0.1953 0.6939
Al1 Al 0.0006 0.5000 0.7509
```

---

Entry from the Alexandria database: crystalline Nd12CdIn4N3 at its relaxed geometry (GGA-PBE).

## Properties
The density is 6.90 g cm⁻³. The uncorrected formation energy is -10.96 eV per formula unit. The value obtained for the density of states at the Fermi level is 0.87 states/eV per atom. The value obtained for the volume is 1128.2 Å³ per cell.

Cell and atoms, written as CIF:
```
data_Nd12CdIn4N3
_space_group_name_H-M_alt 'I m -3 m'
_space_group_IT_number 229
_space_group_name_Hall '-I 4 2 3'
_cell_length_a 10.4102
_cell_length_b 10.4102
_cell_length_c 10.4102
_cell_angle_alpha 90.00
_cell_angle_beta 90.00
_cell_angle_gamma 90.00
loop_
_atom_site_label
_atom_site_type_symbol
_atom_site_fract_x
_atom_site_fract_y
_atom_site_fract_z
Nd1 Nd 0.0000 0.0000 0.2763
Nd2 Nd 0.0000 0.2500 0.5000
Cd1 Cd 0.0000 0.0000 0.0000
In1 In 0.2500 0.2500 0.2500
N1 N 0.0000 0.0000 0.5000
```

---

Entry from the Alexandria database: crystalline Ni2PbI at its relaxed geometry (GGA-PBE).

## Properties
The relative energy among the computed polymorphs is 142 meV/atom. The density is 9.71 g cm⁻³. The uncorrected formation energy is 2.18 eV per formula unit. The value obtained for the density of states at the Fermi level is 0.37 states/eV per atom. The value obtained for the volume is 308.9 Å³ per cell.

Cell and atoms, written as CIF:
```
data_Ni2PbI
_space_group_name_H-M_alt 'F m -3 m'
_space_group_IT_number 225
_space_group_name_Hall '-F 4 2 3'
_cell_length_a 6.7601
_cell_length_b 6.7601
_cell_length_c 6.7601
_cell_angle_alpha 90.00
_cell_angle_beta 90.00
_cell_angle_gamma 90.00
loop_
_atom_site_label
_atom_site_type_symbol
_atom_site_fract_x
_atom_site_fract_y
_atom_site_fract_z
Ni1 Ni 0.2500 0.2500 0.2500
Pb1 Pb 0.0000 0.0000 0.0000
I1 I 0.0000 0.0000 0.5000
```

---

Entry from the Alexandria database: crystalline Zr2P2Os at its relaxed geometry (GGA-PBE).

## Properties
The density is 9.01 g cm⁻³. The value obtained for the formation energy from the elements is -0.907 eV/atom. The value obtained for the density of states at the Fermi level is 0.01 states/eV per atom. The value obtained for the volume is 160.3 Å³ per cell.

Cell and atoms, written as CIF:
```
data_Zr2P2Os
_space_group_name_H-M_alt 'P 4/m b m'
_space_group_IT_number 127
_space_group_name_Hall '-P 4 2ab'
_cell_length_a 6.0908
_cell_length_b 6.0908
_cell_length_c 4.3198
_cell_angle_alpha 90.00
_cell_angle_beta 90.00
_cell_angle_gamma 90.00
loop_
_atom_site_label
_atom_site_type_symbol
_atom_site_fract_x
_atom_site_fract_y
_atom_site_fract_z
Zr1 Zr 0.1657 0.3343 0.0000
P1 P 0.1336 0.6336 0.5000
Os1 Os 0.0000 0.0000 0.5000
```

---

Entry from the Alexandria database: crystalline Ce2NdRh at its relaxed geometry (GGA-PBE).

## Properties
The relative energy among the computed polymorphs is 98 meV/atom. The density is 8.28 g cm⁻³. The value obtained for the formation energy from the elements is -0.276 eV/atom. The value obtained for the density of states at the Fermi level is 2.46 states/eV per atom. The value obtained for the volume is 105.8 Å³ per cell.

Cell and atoms, written as CIF:
```
data_Ce2NdRh
_space_group_name_H-M_alt 'P 4/m m m'
_space_group_IT_number 123
_space_group_name_Hall '-P 4 2'
_cell_length_a 3.6560
_cell_length_b 3.6560
_cell_length_c 7.9169
_cell_angle_alpha 90.00
_cell_angle_beta 90.00
_cell_angle_gamma 90.00
loop_
_atom_site_label
_atom_site_type_symbol
_atom_site_fract_x
_atom_site_fract_y
_atom_site_fract_z
Ce1 Ce 0.0000 0.0000 0.1886
Nd1 Nd 0.5000 0.5000 0.5000
Rh1 Rh 0.5000 0.5000 0.0000
```

---

Entry from the Alexandria database: crystalline CdAgRh at its relaxed geometry (GGA-PBE).

## Properties
The relative energy among the computed polymorphs is 41 meV/atom. The density is 10.35 g cm⁻³. The value obtained for the formation energy from the elements is 0.070 eV/atom. The value obtained for the density of states at the Fermi level is 1.04 states/eV per atom. The value obtained for the volume is 103.7 Å³ per cell.

Cell and atoms, written as CIF:
```
data_CdAgRh
_space_group_name_H-M_alt 'I 4 m m'
_space_group_IT_number 107
_space_group_name_Hall 'I 4 -2'
_cell_length_a 2.9850
_cell_length_b 2.9850
_cell_length_c 11.6419
_cell_angle_alpha 90.00
_cell_angle_beta 90.00
_cell_angle_gamma 90.00
loop_
_atom_site_label
_atom_site_type_symbol
_atom_site_fract_x
_atom_site_fract_y
_atom_site_fract_z
Cd1 Cd 0.0000 0.0000 0.0000
Ag1 Ag 0.0000 0.0000 0.6800
Rh1 Rh 0.0000 0.0000 0.3412
```

---

Entry from the Alexandria database: crystalline ScCdRh2 at its relaxed geometry (GGA-PBE).

## Properties
The density is 8.83 g cm⁻³. The value obtained for the formation energy from the elements is -0.274 eV/atom. The value obtained for the density of states at the Fermi level is 1.87 states/eV per atom. The value obtained for the volume is 273.3 Å³ per cell.

Cell and atoms, written as CIF:
```
data_ScCdRh2
_space_group_name_H-M_alt 'F -4 3 m'
_space_group_IT_number 216
_space_group_name_Hall 'F -4 2 3'
_cell_length_a 6.4896
_cell_length_b 6.4896
_cell_length_c 6.4896
_cell_angle_alpha 90.00
_cell_angle_beta 90.00
_cell_angle_gamma 90.00
loop_
_atom_site_label
_atom_site_type_symbol
_atom_site_fract_x
_atom_site_fract_y
_atom_site_fract_z
Sc1 Sc 0.0000 0.0000 0.0000
Cd1 Cd 0.2500 0.2500 0.7500
Rh1 Rh 0.0000 0.0000 0.5000
Rh2 Rh 0.2500 0.2500 0.2500
```

---

Entry from the Alexandria database: crystalline Ca4MgPa3P8 at its relaxed geometry (GGA-PBE).

## Properties
The density is 4.99 g cm⁻³. The value obtained for the formation energy from the elements is -1.155 eV/atom. The value obtained for the density of states at the Fermi level is 0.46 states/eV per atom. The value obtained for the volume is 1123.1 Å³ per cell.

Cell and atoms, written as CIF:
```
data_Ca4MgPa3P8
_space_group_name_H-M_alt 'R -3 m'
_space_group_IT_number 166
_space_group_name_Hall '-R 3 2"'
_cell_length_a 8.0842
_cell_length_b 8.0842
_cell_length_c 19.8424
_cell_angle_alpha 90.00
_cell_angle_beta 90.00
_cell_angle_gamma 120.00
loop_
_atom_site_label
_atom_site_type_symbol
_atom_site_fract_x
_atom_site_fract_y
_atom_site_fract_z
Ca1 Ca 0.0000 0.0000 0.0000
Ca2 Ca 0.0000 0.5000 0.0000
Mg1 Mg 0.0000 0.0000 0.5000
Pa1 Pa 0.0000 0.5000 0.5000
P1 P 0.0000 0.0000 0.2437
P2 P 0.0055 0.5027 0.7577
```